(1)
{"formula": "TaTiI2Br", "functional": "SCAN", "state": "single point on PBEsol structure", "vol_a3_per_cell": 138, "crystal_system": "tetragonal", "magmom_total_mub_per_fu": 1.6, "e_form_raw_kcal_per_mol_atoms": 15.7, "lattice_angstrom": [[5.105, 0.000, 0.000], [0.000, 5.207, 0.000], [0.000, 0.000, 5.207]], "species": ["Ta", "Br", "I", "I", "Ti"], "fractional_positions": [[0.500, 0.000, 0.000], [0.500, 0.500, 0.500], [0.000, 0.500, 0.000], [0.000, 0.000, 0.500], [0.000, 0.000, 0.000]]}



(2)
{"formula": "TlNiHg2", "functional": "SCAN", "state": "single point on PBEsol structure", "ef_ev_per_atom": 0.441, "vol_a3_per_cell": 78, "crystal_system": "tetragonal", "magmom_total_mub_per_fu": 0.0, "relative_energy_mev_per_atom": 260, "lattice_angstrom": [[4.543, 0.000, 0.000], [0.000, 4.135, 0.000], [0.000, 0.000, 4.135]], "species": ["Hg", "Hg", "Ni", "Tl"], "fractional_positions": [[0.000, 0.500, 0.000], [0.000, 0.000, 0.500], [0.500, 0.500, 0.500], [0.500, 0.000, 0.000]]}